CrCoCu2Te: relaxed, PBEsol.

Computed properties:
Energy = -24.24 eV for the cell shown
Formation energy without anion corrections = 1.19 eV per atom
ρ = 7.18 g cm⁻³
Magnetic moment = 2.892 μB per formula unit

Cell and atoms, written as POSCAR:
```
CrCoCu2Te
1.0
4.122 0.000 0.000
0.000 4.530 0.000
0.000 0.000 4.530
Cr Te Co Cu
1 1 1 2
Direct
0.000 0.000 0.000
0.500 0.500 0.500
0.500 0.000 0.000
0.000 0.000 0.500
0.000 0.500 0.000
```

***

Ba2TlTc: relaxed, PBEsol.

Computed properties:
Energy above the most stable polymorph in this dataset = 26.5 kJ/mol of atoms
Energy = -15.26 eV for the cell shown
ρ = 7.52 g cm⁻³
Magnetic moment = 1.568 μB per formula unit
Formation energy = 733 meV per atom

Cell and atoms, written as POSCAR:
```
Ba2TlTc
1.0
-2.896 -1.727 0.668
2.869 -0.256 2.931
-4.235 8.409 3.375
Ba Tc Tl
2 1 1
Direct
0.744 0.488 0.715
0.256 0.512 0.285
0.000 0.000 0.500
0.500 0.000 0.000
```

***

Sr2AsCl: relaxed, PBEsol.

Computed properties:
Energy = -17.05 eV for the cell shown
Formation energy without anion corrections = -1.56 eV per atom
ρ = 4.52 g cm⁻³
Magnetic moment = 0.001 μB per formula unit

Cell and atoms, written as POSCAR:
```
Sr2AsCl
1.0
5.296 0.000 0.000
2.648 4.585 0.035
2.648 1.497 4.334
Sr As Cl
2 1 1
Direct
0.250 0.750 0.750
0.750 0.250 0.250
0.000 0.500 0.500
0.500 0.000 0.000
```

***

SrGa3C: relaxed, PBEsol.

Computed properties:
Energy = -18.81 eV for the cell shown
ρ = 5.43 g cm⁻³
Magnetic moment = 0.000 μB per formula unit
Formation energy = 540 meV per atom

Cell and atoms, written as POSCAR:
```
SrGa3C
1.0
4.555 0.000 0.000
0.000 4.555 0.000
0.000 0.000 4.555
Sr C Ga
1 1 3
Direct
0.500 0.500 0.500
0.000 0.000 0.000
0.000 0.500 0.000
0.000 0.000 0.500
0.500 0.000 0.000
```

***

Li2Mg: relaxed, PBEsol.

Computed properties:
Energy = -11.52 eV for the cell shown
ρ = 1.06 g cm⁻³
Magnetic moment = 0.000 μB per formula unit
Formation energy = -36 meV per atom

Cell and atoms, written as POSCAR:
```
Li2Mg
1.0
5.234 -0.017 -0.075
-2.527 4.583 0.075
-2.341 -1.698 4.998
Mg Li
2 4
Direct
0.657 0.907 0.750
0.343 0.093 0.250
0.675 0.757 0.251
0.006 0.425 0.249
0.994 0.575 0.751
0.325 0.243 0.749
```

***

As2PW: relaxed, PBEsol.

Computed properties:
Energy = -27.86 eV for the cell shown
ρ = 9.87 g cm⁻³
Magnetic moment = 0.000 μB per formula unit
Formation energy = 487 meV per atom

Cell and atoms, written as POSCAR:
```
As2PW
1.0
-4.072 1.661 -0.531
1.057 -2.137 3.733
3.447 2.718 0.594
As P W
2 1 1
Direct
0.000 0.000 0.000
0.500 0.750 0.250
0.000 0.500 0.500
0.500 0.250 0.750
```

***

Rb2NiGePd: relaxed, PBEsol.

Computed properties:
Energy = -14.47 eV for the cell shown
ρ = 4.15 g cm⁻³
Magnetic moment = 2.289 μB per formula unit
Formation energy = 928 meV per atom

Cell and atoms, written as POSCAR:
```
Rb2NiGePd
1.0
4.546 0.000 0.000
0.000 5.999 0.000
0.000 0.000 5.999
Ni Ge Rb Pd
1 1 2 1
Direct
0.000 0.000 0.000
0.500 0.500 0.500
0.000 0.000 0.500
0.000 0.500 0.000
0.500 0.000 0.000
```

***

LiCoP3: relaxed, PBEsol.

Computed properties:
Energy = -21.77 eV for the cell shown
ρ = 3.75 g cm⁻³
Magnetic moment = 0.861 μB per formula unit
Formation energy = 1061 meV per atom

Cell and atoms, written as POSCAR:
```
LiCoP3
1.0
4.129 0.000 0.000
0.000 4.129 0.000
0.000 0.000 4.129
P Co Li
3 1 1
Direct
0.000 0.500 0.000
0.000 0.000 0.500
0.500 0.000 0.000
0.500 0.500 0.500
0.000 0.000 0.000
```

***

CaIn2RuS: relaxed, PBEsol.

Computed properties:
Energy = -21.87 eV for the cell shown
Formation energy without anion corrections = 0.16 eV per atom
ρ = 5.49 g cm⁻³
Magnetic moment = 0.069 μB per formula unit

Cell and atoms, written as POSCAR:
```
CaIn2RuS
1.0
4.282 0.000 0.000
0.000 5.335 0.000
0.000 0.000 5.335
Ru Ca S In
1 1 1 2
Direct
0.500 0.000 0.000
0.500 0.500 0.500
0.000 0.000 0.000
0.000 0.000 0.500
0.000 0.500 0.000
```

***

LaTi2Co2: relaxed, PBEsol.

Computed properties:
Energy = -38.61 eV for the cell shown
ρ = 6.87 g cm⁻³
Magnetic moment = 0.000 μB per formula unit
Formation energy = -229 meV per atom

Cell and atoms, written as POSCAR:
```
LaTi2Co2
1.0
4.142 0.000 0.000
0.000 4.142 0.000
-2.071 -2.071 4.968
Ti Co La
2 2 1
Direct
0.250 0.750 0.500
0.750 0.250 0.500
0.378 0.378 0.756
0.622 0.622 0.244
0.000 0.000 0.000
```

***

Pt2Rh: relaxed, PBEsol.

Computed properties:
Energy = -21.90 eV for the cell shown
ρ = 18.61 g cm⁻³
Magnetic moment = 0.000 μB per formula unit
Formation energy = 55 meV per atom

Cell and atoms, written as POSCAR:
```
Pt2Rh
1.0
-1.320 -2.873 -0.979
0.330 -1.197 3.069
-3.165 3.401 -0.118
Rh Pt
1 2
Direct
0.000 0.000 0.000
0.335 0.335 0.669
0.665 0.665 0.331
```

***

TiSi2Ru: relaxed, PBEsol.

Computed properties:
Energy = -61.23 eV for the cell shown
Formation energy without anion corrections = -0.16 eV per atom
ρ = 5.81 g cm⁻³
Magnetic moment = 0.000 μB per formula unit

Cell and atoms, written as POSCAR:
```
TiSi2Ru
1.0
3.644 0.000 0.000
0.000 3.644 0.000
-1.822 -1.822 8.834
Ru Si Ti
2 4 2
Direct
0.250 0.750 0.500
0.000 0.000 0.000
0.884 0.375 0.250
0.366 0.875 0.250
0.625 0.634 0.750
0.125 0.116 0.750
0.750 0.250 0.500
0.500 0.500 0.000
```